Record 1
## Sc2Ti3Ni4 (PBE)

Data for a relaxed Sc2Ti3Ni4 crystal.

* E: -6.972 eV per atom
* calculated formation energy: -3.28 eV/f.u.
* crystal system: monoclinic

a = 6.199 Å, b = 7.091 Å, c = 6.825 Å
α = 90.00°, β = 110.38°, γ = 90.00°
Space group P2_1/c (No. 14)
Unique sites:
Sc (0.191, 0.173, 0.069) (multiplicity 4)
Ti (0.253, 0.660, 0.257) (multiplicity 4)
Ti (0.500, 0.000, 0.500) (multiplicity 2)
Ni (0.087, 0.549, 0.869) (multiplicity 4)
Ni (0.494, 0.628, 0.627) (multiplicity 4)


Record 2
## YAgSbH (PBE)

Data for a relaxed YAgSbH crystal.

* E: -4.756 eV per atom
* crystal system: tetragonal

a = 4.189 Å, b = 4.189 Å, c = 8.489 Å
α = 90.00°, β = 90.00°, γ = 90.00°
Space group P4/nmm (No. 129, origin choice 2)
Unique sites:
Y (0.250, 0.250, 0.131) (multiplicity 2)
Ag (0.250, 0.750, 0.500) (multiplicity 2)
Sb (0.250, 0.250, 0.733) (multiplicity 2)
H (0.250, 0.750, 0.000) (multiplicity 2)


Record 3
## PrSmErAl (PBE)

Data for a relaxed PrSmErAl crystal.

* E: -4.514 eV per atom
* calculated formation energy: -0.25 eV/f.u.
* crystal system: cubic

a = 7.692 Å, b = 7.692 Å, c = 7.692 Å
α = 90.00°, β = 90.00°, γ = 90.00°
Space group F-43m (No. 216)
Unique sites:
Pr (0.000, 0.000, 0.000) (multiplicity 4)
Sm (0.000, 0.000, 0.500) (multiplicity 4)
Er (0.250, 0.250, 0.250) (multiplicity 4)
Al (0.250, 0.250, 0.750) (multiplicity 4)


Question: Which value of E does entry 2 give?
Answer: -4.756 eV per atom


Question: Among the records above, which one has the highest E?
Answer: PrSmErAl


Question: Which value of E does entry 1 give?
Answer: -6.972 eV per atom


Question: Among the records above, which one has the highest E?
Answer: PrSmErAl